# 1
## Na2LiPtCl6 (PBE-GGA)

Data for a geometry-optimized Na2LiPtCl6 structure.

Computed properties:
Total magnetization = 0.5 μB per formula unit
E_form (uncorrected) = -1081 kJ/mol of formula units
Calculated density = 3.026 g cm⁻³

a b c (Å): 6.888 6.888 12.931
angles (deg): 74.55 74.55 60.00
Element x y z (fractional)
Na 0.851 0.851 0.446
Na 0.149 0.149 0.554
Na 0.684 0.684 0.947
Na 0.316 0.316 0.053
Li 0.582 0.582 0.254
Li 0.418 0.418 0.746
Pt 0.000 0.000 0.000
Pt 0.500 0.500 0.500
Cl 0.869 0.374 0.384
Cl 0.374 0.869 0.384
Cl 0.374 0.374 0.384
Cl 0.131 0.626 0.616
Cl 0.626 0.131 0.616
Cl 0.626 0.626 0.616
Cl 0.702 0.205 0.888
Cl 0.205 0.702 0.888
Cl 0.205 0.205 0.888
Cl 0.298 0.795 0.112
Cl 0.795 0.298 0.112
Cl 0.795 0.795 0.112

---

# 2
## Ga6As (PBE-GGA)

Data for a geometry-optimized Ga6As structure.

Computed properties:
Formation enthalpy at 0 K = 364 kJ/mol of formula units
Total magnetization = 0.0 μB per formula unit
Calculated density = 4.583 g cm⁻³

a b c (Å): 6.146 6.146 6.146
angles (deg): 109.47 109.47 109.47
Element x y z (fractional)
Ga 0.250 0.750 0.500
Ga 0.500 0.750 0.250
Ga 0.250 0.500 0.750
Ga 0.750 0.250 0.500
Ga 0.500 0.250 0.750
Ga 0.750 0.500 0.250
As 0.000 0.000 0.000